(1)
The following is a GGA-PBE calculation of crystalline TlCo2Mo at its relaxed geometry, from the Alexandria database.

Lattice parameters (Å, degrees): 2.903 3.408 6.011 90.00 90.00 90.00
Atoms (fractional coordinates):
Tl1 0.000 0.000 0.000
Co1 0.500 0.500 0.293
Co2 0.500 0.500 0.707
Mo1 0.000 0.000 0.500

Computed properties:
* space group: Pmmm, No. 47
* ΔE_f: 0.367 eV/atom
* total DFT energy (no corrections): -6.485 eV/atom

(2)
The following is a GGA-PBE calculation of crystalline TlCoMo2 at its relaxed geometry, from the Alexandria database.

Lattice parameters (Å, degrees): 3.728 3.904 4.391 90.00 90.00 90.00
Atoms (fractional coordinates):
Tl1 0.000 0.000 0.000
Co1 0.500 0.500 0.000
Mo1 0.000 0.500 0.500
Mo2 0.500 0.000 0.500

Computed properties:
* space group: Pmmm, No. 47
* ΔE_f: 0.540 eV/atom
* total DFT energy (no corrections): -7.244 eV/atom

(3)
The following is a GGA-PBE calculation of crystalline TlCoMo2 at its relaxed geometry, from the Alexandria database.

Lattice parameters (Å, degrees): 2.885 2.885 27.347 90.00 90.00 120.00
Atoms (fractional coordinates):
Tl1 0.000 0.000 0.000
Tl2 0.333 0.667 0.667
Tl3 0.667 0.333 0.333
Co1 0.000 0.000 0.500
Co2 0.333 0.667 0.167
Co3 0.667 0.333 0.833
Mo1 0.000 0.000 0.241
Mo2 0.000 0.000 0.759
Mo3 0.333 0.667 0.426
Mo4 0.333 0.667 0.907
Mo5 0.667 0.333 0.093
Mo6 0.667 0.333 0.574

Computed properties:
* space group: R-3m, No. 166
* ΔE_f: 0.674 eV/atom
* total DFT energy (no corrections): -7.110 eV/atom

(4)
The following is a GGA-PBE calculation of crystalline TlCoMo2 at its relaxed geometry, from the Alexandria database.

Lattice parameters (Å, degrees): 7.265 7.265 5.232 90.00 90.00 90.00
Atoms (fractional coordinates):
Tl1 0.000 0.000 0.000
Tl2 0.000 0.500 0.250
Tl3 0.500 0.000 0.750
Tl4 0.500 0.500 0.500
Co1 0.000 0.000 0.500
Co2 0.000 0.500 0.750
Co3 0.500 0.000 0.250
Co4 0.500 0.500 0.000
Mo1 0.194 0.250 0.625
Mo2 0.250 0.694 0.875
Mo3 0.250 0.806 0.375
Mo4 0.306 0.250 0.125
Mo5 0.694 0.750 0.125
Mo6 0.750 0.194 0.375
Mo7 0.750 0.306 0.875
Mo8 0.806 0.750 0.625

Computed properties:
* space group: I-42d, No. 122
* ΔE_f: 0.848 eV/atom
* total DFT energy (no corrections): -6.936 eV/atom

(5)
The following is a GGA-PBE calculation of crystalline TlCoMo2 at its relaxed geometry, from the Alexandria database.

Lattice parameters (Å, degrees): 3.347 4.563 8.550 90.00 90.00 90.00
Atoms (fractional coordinates):
Tl1 0.000 0.000 0.000
Tl2 0.500 0.500 0.500
Co1 0.000 0.500 0.751
Co2 0.500 0.000 0.251
Mo1 0.000 0.000 0.491
Mo2 0.000 0.500 0.223
Mo3 0.500 0.000 0.723
Mo4 0.500 0.500 0.991

Computed properties:
* space group: Imm2, No. 44
* ΔE_f: 0.558 eV/atom
* total DFT energy (no corrections): -7.226 eV/atom

(6)
The following is a GGA-PBE calculation of crystalline TlCo2Mo at its relaxed geometry, from the Alexandria database.

Lattice parameters (Å, degrees): 2.871 4.148 5.124 90.00 106.19 90.00
Atoms (fractional coordinates):
Tl1 0.000 0.000 0.000
Co1 0.601 0.500 0.204
Co2 0.737 0.000 0.473
Mo1 0.317 0.500 0.638

Computed properties:
* space group: Pm, No. 6
* ΔE_f: 0.522 eV/atom
* total DFT energy (no corrections): -6.330 eV/atom

Number 1: DOS(E_F) 4.426 states/eV/f.u., excess energy over the best structure of this formula in the dataset 0.0 meV/atom. Number 2: DOS(E_F) 4.808 states/eV/f.u., excess energy over the best structure of this formula in the dataset 91.0 meV/atom. Number 3: DOS(E_F) 3.323 states/eV/f.u., excess energy over the best structure of this formula in the dataset 224.8 meV/atom. Number 4: DOS(E_F) 5.703 states/eV/f.u., excess energy over the best structure of this formula in the dataset 398.7 meV/atom. Number 5: DOS(E_F) 3.845 states/eV/f.u., excess energy over the best structure of this formula in the dataset 108.8 meV/atom. Number 6: DOS(E_F) 5.555 states/eV/f.u., excess energy over the best structure of this formula in the dataset 154.5 meV/atom.